12
Lattice="3.338 -6.337 0.000 3.338 6.337 0.000 -0.197 0.000 6.613" Properties=species:S:1:pos:R:3 comment="Ba5CN6 PBE optimized geometry" dos_at_fermi_per_ev_cell=0.46 vol_a3_per_cell=279.7 e_form_raw_ev_per_atom=-0.007 pbc="T T T"
Ba 0.000 0.000 0.000
Ba 3.239 4.217 3.307
Ba 3.338 2.052 0.000
Ba 3.338 -2.052 0.000
Ba 3.239 -4.217 3.307
C 3.239 0.000 3.307
N 2.170 4.130 1.366
N 4.308 4.130 5.247
N 2.319 0.000 2.451
N 4.159 0.000 4.162
N 2.170 -4.130 1.366
N 4.308 -4.130 5.247